w.
Here is an optimized crystal structure of Gd2RuPb from Alexandria. Energies are from PBE.

CIF file:
```
data_Gd2RuPb
_chemical_formula_sum 'Gd8 Ru4 Pb4'
_symmetry_space_group_name_H-M 'F m -3 m'
_symmetry_Int_Tables_number 225
_symmetry_space_group_name_Hall '-F 4 2 3'
_cell_length_a 7.308
_cell_length_b 7.308
_cell_length_c 7.308
_cell_angle_alpha 90.00
_cell_angle_beta 90.00
_cell_angle_gamma 90.00
loop_
_atom_site_label
_atom_site_type_symbol
_atom_site_fract_x
_atom_site_fract_y
_atom_site_fract_z
_atom_site_occupancy
Gd1 Gd 0.250 0.250 0.250 1
Ru1 Ru 0.000 0.000 0.000 1
Pb1 Pb 0.000 0.000 0.500 1
```

=====

x.
Here is an optimized crystal structure of Gd2RuPb from Alexandria. Energies are from PBE.

CIF file:
```
data_Gd2RuPb
_chemical_formula_sum 'Gd6 Ru3 Pb3'
_symmetry_space_group_name_H-M 'R -3 m'
_symmetry_Int_Tables_number 166
_symmetry_space_group_name_Hall '-R 3 2"'
_cell_length_a 3.6669
_cell_length_b 3.6669
_cell_length_c 27.2470
_cell_angle_alpha 90.00
_cell_angle_beta 90.00
_cell_angle_gamma 120.00
loop_
_atom_site_label
_atom_site_type_symbol
_atom_site_fract_x
_atom_site_fract_y
_atom_site_fract_z
_atom_site_occupancy
Gd1 Gd 0.0000 0.0000 0.2342 1
Ru1 Ru 0.0000 0.0000 0.5000 1
Pb1 Pb 0.0000 0.0000 0.0000 1
```

=====

y.
Here is an optimized crystal structure of Gd2RuPb from Alexandria. Energies are from PBE.

CIF file:
```
data_Gd2RuPb
_chemical_formula_sum 'Gd2 Ru1 Pb1'
_symmetry_space_group_name_H-M 'P 4/m m m'
_symmetry_Int_Tables_number 123
_symmetry_space_group_name_Hall '-P 4 2'
_cell_length_a 4.933
_cell_length_b 4.933
_cell_length_c 3.968
_cell_angle_alpha 90.00
_cell_angle_beta 90.00
_cell_angle_gamma 90.00
loop_
_atom_site_label
_atom_site_type_symbol
_atom_site_fract_x
_atom_site_fract_y
_atom_site_fract_z
_atom_site_occupancy
Gd1 Gd 0.000 0.500 0.000 1
Ru1 Ru 0.000 0.000 0.500 1
Pb1 Pb 0.500 0.500 0.500 1
```

=====

Stability check: which of them is least stable? w.

=====

w.
Here is an optimized crystal structure of GdSb2Pb from Alexandria. Energies are from PBE.

CIF file:
```
data_GdSb2Pb
_chemical_formula_sum 'Gd4 Sb8 Pb4'
_symmetry_space_group_name_H-M 'F m -3 m'
_symmetry_Int_Tables_number 225
_symmetry_space_group_name_Hall '-F 4 2 3'
_cell_length_a 7.770
_cell_length_b 7.770
_cell_length_c 7.770
_cell_angle_alpha 90.00
_cell_angle_beta 90.00
_cell_angle_gamma 90.00
loop_
_atom_site_label
_atom_site_type_symbol
_atom_site_fract_x
_atom_site_fract_y
_atom_site_fract_z
_atom_site_occupancy
Gd1 Gd 0.000 0.000 0.000 1
Sb1 Sb 0.250 0.250 0.250 1
Pb1 Pb 0.000 0.000 0.500 1
```

=====

x.
Here is an optimized crystal structure of GdSb2Pb from Alexandria. Energies are from PBE.

CIF file:
```
data_GdSb2Pb
_chemical_formula_sum 'Gd1 Sb2 Pb1'
_symmetry_space_group_name_H-M 'P 4/m m m'
_symmetry_Int_Tables_number 123
_symmetry_space_group_name_Hall '-P 4 2'
_cell_length_a 5.156
_cell_length_b 5.156
_cell_length_c 4.261
_cell_angle_alpha 90.00
_cell_angle_beta 90.00
_cell_angle_gamma 90.00
loop_
_atom_site_label
_atom_site_type_symbol
_atom_site_fract_x
_atom_site_fract_y
_atom_site_fract_z
_atom_site_occupancy
Gd1 Gd 0.000 0.000 0.000 1
Sb1 Sb 0.000 0.500 0.500 1
Pb1 Pb 0.500 0.500 0.000 1
```

=====

Stability check: which of them is least stable? w.

=====

w.
Here is an optimized crystal structure of GdSb2Pb from Alexandria. Energies are from PBE.

CIF file:
```
data_GdSb2Pb
_chemical_formula_sum 'Gd1 Sb2 Pb1'
_symmetry_space_group_name_H-M 'P 4/m m m'
_symmetry_Int_Tables_number 123
_symmetry_space_group_name_Hall '-P 4 2'
_cell_length_a 4.157
_cell_length_b 4.157
_cell_length_c 6.651
_cell_angle_alpha 90.00
_cell_angle_beta 90.00
_cell_angle_gamma 90.00
loop_
_atom_site_label
_atom_site_type_symbol
_atom_site_fract_x
_atom_site_fract_y
_atom_site_fract_z
_atom_site_occupancy
Gd1 Gd 0.000 0.000 0.000 1
Sb1 Sb 0.500 0.500 0.231 1
Pb1 Pb 0.000 0.000 0.500 1
```

=====

x.
Here is an optimized crystal structure of GdSb2Pb from Alexandria. Energies are from PBE.

CIF file:
```
data_GdSb2Pb
_chemical_formula_sum 'Gd3 Sb6 Pb3'
_symmetry_space_group_name_H-M 'R -3 m'
_symmetry_Int_Tables_number 166
_symmetry_space_group_name_Hall '-R 3 2"'
_cell_length_a 3.4066
_cell_length_b 3.4066
_cell_length_c 36.7657
_cell_angle_alpha 90.00
_cell_angle_beta 90.00
_cell_angle_gamma 120.00
loop_
_atom_site_label
_atom_site_type_symbol
_atom_site_fract_x
_atom_site_fract_y
_atom_site_fract_z
_atom_site_occupancy
Gd1 Gd 0.0000 0.0000 0.0000 1
Sb1 Sb 0.0000 0.0000 0.0849 1
Pb1 Pb 0.0000 0.0000 0.5000 1
```

=====

Stability check: which of them is least stable? x.

=====

w.
Here is an optimized crystal structure of Gd2ScPb from Alexandria. Energies are from PBE.

CIF file:
```
data_Gd2ScPb
_chemical_formula_sum 'Gd2 Sc1 Pb1'
_symmetry_space_group_name_H-M 'P 4/m m m'
_symmetry_Int_Tables_number 123
_symmetry_space_group_name_Hall '-P 4 2'
_cell_length_a 4.167
_cell_length_b 4.167
_cell_length_c 6.532
_cell_angle_alpha 90.00
_cell_angle_beta 90.00
_cell_angle_gamma 90.00
loop_
_atom_site_label
_atom_site_type_symbol
_atom_site_fract_x
_atom_site_fract_y
_atom_site_fract_z
_atom_site_occupancy
Gd1 Gd 0.000 0.000 0.244 1
Sc1 Sc 0.500 0.500 0.500 1
Pb1 Pb 0.500 0.500 0.000 1
```

=====

x.
Here is an optimized crystal structure of Gd2ScPb from Alexandria. Energies are from PBE.

CIF file:
```
data_Gd2ScPb
_chemical_formula_sum 'Gd6 Sc3 Pb3'
_symmetry_space_group_name_H-M 'R -3 m'
_symmetry_Int_Tables_number 166
_symmetry_space_group_name_Hall '-R 3 2"'
_cell_length_a 3.4830
_cell_length_b 3.4830
_cell_length_c 35.4034
_cell_angle_alpha 90.00
_cell_angle_beta 90.00
_cell_angle_gamma 120.00
loop_
_atom_site_label
_atom_site_type_symbol
_atom_site_fract_x
_atom_site_fract_y
_atom_site_fract_z
_atom_site_occupancy
Gd1 Gd 0.0000 0.0000 0.0909 1
Sc1 Sc 0.0000 0.0000 0.5000 1
Pb1 Pb 0.0000 0.0000 0.0000 1
```

=====

y.
Here is an optimized crystal structure of Gd2ScPb from Alexandria. Energies are from PBE.

CIF file:
```
data_Gd2ScPb
_chemical_formula_sum 'Gd2 Sc1 Pb1'
_symmetry_space_group_name_H-M 'P 4/m m m'
_symmetry_Int_Tables_number 123
_symmetry_space_group_name_Hall '-P 4 2'
_cell_length_a 4.807
_cell_length_b 4.807
_cell_length_c 4.791
_cell_angle_alpha 90.00
_cell_angle_beta 90.00
_cell_angle_gamma 90.00
loop_
_atom_site_label
_atom_site_type_symbol
_atom_site_fract_x
_atom_site_fract_y
_atom_site_fract_z
_atom_site_occupancy
Gd1 Gd 0.000 0.500 0.000 1
Sc1 Sc 0.000 0.000 0.500 1
Pb1 Pb 0.500 0.500 0.500 1
```

=====

z.
Here is an optimized crystal structure of Gd2ScPb from Alexandria. Energies are from PBE.

CIF file:
```
data_Gd2ScPb
_chemical_formula_sum 'Gd8 Sc4 Pb4'
_symmetry_space_group_name_H-M 'F m -3 m'
_symmetry_Int_Tables_number 225
_symmetry_space_group_name_Hall '-F 4 2 3'
_cell_length_a 7.678
_cell_length_b 7.678
_cell_length_c 7.678
_cell_angle_alpha 90.00
_cell_angle_beta 90.00
_cell_angle_gamma 90.00
loop_
_atom_site_label
_atom_site_type_symbol
_atom_site_fract_x
_atom_site_fract_y
_atom_site_fract_z
_atom_site_occupancy
Gd1 Gd 0.250 0.250 0.250 1
Sc1 Sc 0.000 0.000 0.000 1
Pb1 Pb 0.000 0.000 0.500 1
```

=====

Stability check: which of them is least stable? x.